[1]
DFT (PBE-GGA) results for a relaxed structure of KSrAu.

The structure in CIF format:
```
data_KSrAu
_cell_length_a 4.0308
_cell_length_b 4.0308
_cell_length_c 14.9423
_cell_angle_alpha 90.00
_cell_angle_beta 90.00
_cell_angle_gamma 90.00
_space_group_name_H-M_alt 'I 4 m m'
_space_group_IT_number 107
_space_group_name_Hall 'I 4 -2'
loop_
_atom_site_label
_atom_site_type_symbol
_atom_site_fract_x
_atom_site_fract_y
_atom_site_fract_z
K1 K 0.0000 0.0000 0.0000
Sr1 Sr 0.0000 0.0000 0.2540
Au1 Au 0.0000 0.0000 0.6545
```



[2]
# K3SrAu, relaxed, DFT PBE-GGA
# Energy relative to the lowest polymorph listed for this composition (eV/atom): 0.000
data_K3SrAu
_cell_length_a 6.5556
_cell_length_b 6.5556
_cell_length_c 6.5556
_cell_angle_alpha 90.00
_cell_angle_beta 90.00
_cell_angle_gamma 90.00
_space_group_name_H-M_alt 'P m -3 m'
_space_group_IT_number 221
_space_group_name_Hall '-P 4 2 3'
loop_
_atom_site_label
_atom_site_type_symbol
_atom_site_fract_x
_atom_site_fract_y
_atom_site_fract_z
K1 K 0.0000 0.0000 0.5000
Sr1 Sr 0.5000 0.5000 0.5000
Au1 Au 0.0000 0.0000 0.0000



[3]
# K3SrAu, relaxed, DFT PBE-GGA
# Energy relative to the lowest polymorph listed for this composition (eV/atom): 0.656
data_K3SrAu
_cell_length_a 7.8206
_cell_length_b 7.8206
_cell_length_c 7.8206
_cell_angle_alpha 90.00
_cell_angle_beta 90.00
_cell_angle_gamma 90.00
_space_group_name_H-M_alt 'P m -3 m'
_space_group_IT_number 221
_space_group_name_Hall '-P 4 2 3'
loop_
_atom_site_label
_atom_site_type_symbol
_atom_site_fract_x
_atom_site_fract_y
_atom_site_fract_z
K1 K 0.0000 0.0000 0.5000
Sr1 Sr 0.0000 0.0000 0.0000
Au1 Au 0.5000 0.5000 0.5000



[4]
DFT (PBE-GGA) results for a relaxed structure of KSrAu.

The structure in CIF format:
```
data_KSrAu
_cell_length_a 4.4059
_cell_length_b 4.4059
_cell_length_c 15.7528
_cell_angle_alpha 90.00
_cell_angle_beta 90.00
_cell_angle_gamma 120.00
_space_group_name_H-M_alt 'P -6 m 2'
_space_group_IT_number 187
_space_group_name_Hall 'P -6 2'
loop_
_atom_site_label
_atom_site_type_symbol
_atom_site_fract_x
_atom_site_fract_y
_atom_site_fract_z
K1 K 0.0000 0.0000 0.1342
Sr1 Sr 0.3333 0.6667 0.3777
Au1 Au 0.0000 0.0000 0.5000
Au2 Au 0.3333 0.6667 0.0000
```



| no. | energy of formation from the pure elements (eV/atom) |
| --- | --- |
| 1 | -0.36 |
| 2 | 0.00 |
| 3 | 0.65 |
| 4 | -0.31 |